[1]
VASP calculation (PBE) on an optimized crystal structure of CaDy5In6.

a b c (Å): 5.3468 7.4886 9.2511
angles (deg): 113.88 106.80 90.00
Fractional coordinates of all 12 atoms:
Ca 0.0000 0.0000 0.0000
In 0.8323 0.5797 0.6648
In 0.8325 0.0851 0.6648
In 0.4999 0.7444 0.0000
In 0.5001 0.2556 0.0000
In 0.1675 0.9149 0.3352
In 0.1677 0.4203 0.3352
Dy 0.6632 0.1632 0.3263
Dy 0.3319 0.3319 0.6637
Dy 0.0000 0.5000 0.0000
Dy 0.6681 0.6681 0.3363
Dy 0.3368 0.8368 0.6737

Formation energy: -0.46 eV per atom
Symmetry: Immm (71)
M_tot: 0.000 μB per formula unit

---

[2]
VASP calculation (PBE) on an optimized crystal structure of Ca2Dy2In3.

a b c (Å): 3.7036 3.6068 15.6930
angles (deg): 90.00 83.22 90.00
Fractional coordinates of all 7 atoms:
Ca 0.6946 0.5000 0.6107
Ca 0.3054 0.5000 0.3893
Dy 0.5647 0.5000 0.8706
Dy 0.4353 0.5000 0.1294
In 0.8707 0.0000 0.2586
In 0.0000 0.0000 0.0000
In 0.1293 0.0000 0.7414

Formation energy: -0.37 eV per atom
Symmetry: Cmmm (65)
M_tot: 0.000 μB per formula unit

---

[3]
VASP calculation (PBE) on an optimized crystal structure of CaDy2In3.

a b c (Å): 3.6547 3.6547 12.1756
angles (deg): 90.00 90.00 90.00
Fractional coordinates of all 6 atoms:
Ca 0.5000 0.5000 0.5000
Dy 0.5000 0.5000 0.8337
Dy 0.5000 0.5000 0.1663
In 0.0000 0.0000 0.0000
In 0.0000 0.0000 0.6706
In 0.0000 0.0000 0.3294

Formation energy: -0.46 eV per atom
Symmetry: P4/mmm (123)
M_tot: 0.000 μB per formula unit

---

[4]
VASP calculation (PBE) on an optimized crystal structure of Ca3Dy12In5.

a b c (Å): 16.0386 16.0386 16.0386
angles (deg): 109.47 109.47 109.47
Fractional coordinates of all 80 atoms:
Ca 0.7500 0.3750 0.1250
Ca 0.8750 0.7500 0.1250
Ca 0.3750 0.7500 0.6250
Ca 0.2500 0.1250 0.3750
Ca 0.8750 0.1250 0.2500
Ca 0.3750 0.6250 0.2500
Ca 0.6250 0.3750 0.7500
Ca 0.1250 0.8750 0.7500
Ca 0.7500 0.8750 0.6250
Ca 0.6250 0.2500 0.3750
Ca 0.1250 0.2500 0.8750
Ca 0.2500 0.6250 0.8750
In 0.1250 0.3750 0.2500
In 0.0000 0.5000 0.0000
In 0.0000 0.0000 0.0000
In 0.3750 0.2500 0.1250
In 0.5000 0.0000 0.5000
In 0.5000 0.5000 0.0000
In 0.1250 0.7500 0.3750
In 0.7500 0.1250 0.8750
In 0.7500 0.6250 0.3750
In 0.3750 0.1250 0.7500
In 0.6250 0.8750 0.2500
In 0.5000 0.5000 0.5000
In 0.5000 0.0000 0.0000
In 0.0000 0.0000 0.5000
In 0.2500 0.3750 0.6250
In 0.2500 0.8750 0.1250
In 0.0000 0.5000 0.5000
In 0.8750 0.2500 0.6250
In 0.6250 0.7500 0.8750
In 0.8750 0.6250 0.7500
Dy 0.7109 0.1141 0.0411
Dy 0.3303 0.5411 0.4270
Dy 0.9589 0.3859 0.2891
Dy 0.5411 0.2109 0.1141
Dy 0.5968 0.7109 0.6697
Dy 0.9589 0.5730 0.1697
Dy 0.3303 0.7891 0.4032
Dy 0.0730 0.9032 0.1141
Dy 0.5730 0.9589 0.6697
Dy 0.7109 0.5968 0.1697
Dy 0.7891 0.4589 0.3859
Dy 0.8303 0.9270 0.0411
Dy 0.1141 0.7109 0.5411
Dy 0.3859 0.4270 0.0968
Dy 0.0968 0.9270 0.3859
Dy 0.4032 0.1141 0.5730
Dy 0.0968 0.1697 0.2109
Dy 0.4589 0.6697 0.0730
Dy 0.8303 0.9032 0.2891
Dy 0.1141 0.4032 0.0730
Dy 0.3859 0.9589 0.7891
Dy 0.5730 0.6141 0.4032
Dy 0.9270 0.8303 0.5411
Dy 0.7891 0.3303 0.9032
Dy 0.4270 0.3859 0.5968
Dy 0.0730 0.1697 0.4589
Dy 0.2109 0.6697 0.0968
Dy 0.1697 0.0968 0.7109
Dy 0.6141 0.0411 0.2109
Dy 0.8859 0.5968 0.9270
Dy 0.5411 0.3303 0.9270
Dy 0.5968 0.8859 0.4270
Dy 0.9032 0.8303 0.7891
Dy 0.9032 0.0730 0.6141
Dy 0.8859 0.2891 0.4589
Dy 0.1697 0.0730 0.9589
Dy 0.6141 0.5730 0.9032
Dy 0.4270 0.0411 0.3303
Dy 0.2891 0.4032 0.8303
Dy 0.2109 0.5411 0.6141
Dy 0.9270 0.0968 0.8859
Dy 0.6697 0.2109 0.5968
Dy 0.4589 0.7891 0.8859
Dy 0.0411 0.4270 0.8303
Dy 0.4032 0.2891 0.3303
Dy 0.0411 0.6141 0.7109
Dy 0.6697 0.4589 0.5730
Dy 0.2891 0.8859 0.9589

Formation energy: 0.56 eV per atom
Symmetry: Ia-3d (230)
M_tot: 0.000 μB per formula unit

---

[5]
VASP calculation (PBE) on an optimized crystal structure of CaDyIn6.

a b c (Å): 4.6756 4.6756 9.3727
angles (deg): 90.00 90.00 90.00
Fractional coordinates of all 8 atoms:
Ca 0.0000 0.0000 0.0000
Dy 0.0000 0.0000 0.5000
In 0.5000 0.5000 0.0000
In 0.5000 0.5000 0.5000
In 0.5000 0.0000 0.2522
In 0.5000 0.0000 0.7478
In 0.0000 0.5000 0.2522
In 0.0000 0.5000 0.7478

Formation energy: -0.37 eV per atom
Symmetry: P4/mmm (123)
M_tot: 0.000 μB per formula unit

---

[6]
VASP calculation (PBE) on an optimized crystal structure of CaDyIn2.

a b c (Å): 3.7869 3.7869 7.6855
angles (deg): 90.00 90.00 90.00
Fractional coordinates of all 4 atoms:
Ca 0.5000 0.5000 0.5000
In 0.0000 0.0000 0.7567
In 0.0000 0.0000 0.2433
Dy 0.5000 0.5000 0.0000

Formation energy: -0.47 eV per atom
Symmetry: P4/mmm (123)
M_tot: 0.000 μB per formula unit